Crystalline Pa2CoCuO8 at its relaxed geometry. Source: Alexandria via LeMat-Bulk, functional PBE with a Hubbard U.

The space group is P-3m1 (No. 164) and the conventional cell measures 5.1401, 5.1401 and 6.3027 Å, with angles of 90.00, 90.00 and 120.00 degrees. The distinct sites, in fractional coordinates, are Pa at (0.3333, 0.6667, 0.3377), Co at (0.0000, 0.0000, 0.5000), Cu at (0.0000, 0.0000, 0.0000), O at (0.1674, 0.3348, 0.6661) and O at (0.3333, 0.6667, 0.0435).

The volume comes out at 144 Å³/f.u. The value obtained for the density of states at the Fermi level is 0.440 states/eV per atom. As for the energy: -7.510 eV/atom.